# Be3RhBr (GGA-PBE, relaxed)
data_Be3RhBr
_chemical_formula_sum 'Be3 Rh1 Br1'
_cell_length_a 4.338
_cell_length_b 4.338
_cell_length_c 4.338
_cell_angle_alpha 90.00
_cell_angle_beta 90.00
_cell_angle_gamma 90.00
_space_group_name_H-M_alt 'P m -3 m'
_space_group_IT_number 221
_space_group_name_Hall '-P 4 2 3'
loop_
_atom_site_label
_atom_site_fract_x
_atom_site_fract_y
_atom_site_fract_z
Be1 0.000 0.000 0.500
Rh1 0.000 0.000 0.000
Br1 0.500 0.500 0.500
# * polymorph energy (0 for the lowest one): 0 kJ/mol of formula units
# * Fermi-level density of states: 1.93 states/eV/cell
# * energy relative to the elements, uncorrected: 520 meV/atom
# * total DFT energy (no corrections): -17.6 eV/f.u.